No. 1
DFT (GGA-PBE) results for a relaxed Ba2UPdO6 crystal.

a = 6.4646 Å, b = 6.4646 Å, c = 5.6762 Å
α = 114.13°, β = 114.13°, γ = 53.01°
With the nearest neighbours (Å) after each atom.
Fractional positions:
Ba 0.2436 0.2436 0.2213  5 O 2.64-2.82
Ba 0.7564 0.7564 0.7787  5 O 2.64-2.82
U 0.5000 0.5000 0.0000  6 O 2.01-2.14
Pd 0.0000 0.0000 0.5000  4 O 2.05
O 0.1912 0.7047 0.2063  1 Pd 2.05, 1 U 2.14
O 0.2953 0.8088 0.7937  1 Pd 2.05, 1 U 2.14
O 0.3108 0.3108 0.7335  1 U 2.01
O 0.6892 0.6892 0.2665  1 U 2.01
O 0.7047 0.1912 0.2063  1 Pd 2.05, 1 U 2.14
O 0.8088 0.2953 0.7937  1 Pd 2.05, 1 U 2.14

## Properties
formation energy from raw total energies = -2.55 eV per atom
V = 16.86 A^3/atom
total magnetization = 0.0 μB per cell
final energy = -7.553 eV per atom

No. 2
DFT (GGA-PBE) results for a relaxed BaUPdO5 crystal.

a = 6.1159 Å, b = 6.1159 Å, c = 8.1543 Å
α = 98.28°, β = 98.28°, γ = 117.57°
With the nearest neighbours (Å) after each atom.
Fractional positions:
Ba 0.1803 0.8197 0.7500  7 O 2.68-2.93
Ba 0.8197 0.1803 0.2500  7 O 2.68-2.93
U 0.5000 0.5000 0.0000  6 O 2.06-2.14
U 0.5000 0.5000 0.5000  6 O 2.06-2.14
Pd 0.1706 0.8294 0.2500  4 O 2.08-2.10
Pd 0.8294 0.1706 0.7500  4 O 2.08-2.10
O 0.1350 0.1987 0.9247  1 U 2.06, 1 Pd 2.10
O 0.1987 0.1350 0.4247  1 U 2.06, 1 Pd 2.10
O 0.2780 0.6599 0.4247  1 Pd 2.08, 1 U 2.08
O 0.3401 0.7220 0.0753  1 Pd 2.08, 1 U 2.08
O 0.4366 0.5634 0.7500  2 U 2.14
O 0.5634 0.4366 0.2500  2 U 2.14
O 0.6599 0.2780 0.9247  1 Pd 2.08, 1 U 2.08
O 0.7220 0.3401 0.5753  1 Pd 2.08, 1 U 2.08
O 0.8013 0.8650 0.5753  1 U 2.06, 1 Pd 2.10
O 0.8650 0.8013 0.0753  1 U 2.06, 1 Pd 2.10

## Properties
formation energy from raw total energies = -2.31 eV per atom
V = 16.23 A^3/atom
total magnetization = 0.0 μB per cell
final energy = -7.705 eV per atom